(1)
A plane-wave DFT calculation with PBE-GGA was carried out for CdAg2Cl after structural relaxation.

a = 3.795 Å, b = 3.579 Å, c = 6.798 Å
α = 90.00°, β = 90.54°, γ = 90.00°
Positions (direct):
Cd: 0.000 0.000 0.000
Ag: 0.496 0.500 0.799
Ag: 0.504 0.500 0.201
Cl: 0.500 0.000 0.500

Summary:
VASP energy = -2.253 eV per atom
Formation energy without anion corrections = -0.5 eV/f.u.
ΔE to the lowest computed polymorph = 2.5 kJ/mol of atoms

=====

(2)
A plane-wave DFT calculation with PBE-GGA was carried out for Tl3HgO2 after structural relaxation.

a = 11.690 Å, b = 11.690 Å, c = 7.580 Å
α = 107.09°, β = 107.09°, γ = 17.96°
Positions (direct):
Tl: 0.057 0.057 0.207
Tl: 0.233 0.233 0.178
Tl: 0.407 0.407 0.237
Tl: 0.593 0.593 0.763
Tl: 0.767 0.767 0.822
Tl: 0.943 0.943 0.793
Hg: 0.329 0.329 0.548
Hg: 0.671 0.671 0.452
O: 0.049 0.049 0.893
O: 0.306 0.306 0.007
O: 0.694 0.694 0.993
O: 0.951 0.951 0.107

Summary:
VASP energy = -3.333 eV per atom
Formation energy without anion corrections = -2.7 eV/f.u.

=====

(3)
A plane-wave DFT calculation with PBE-GGA was carried out for KCo2Ni after structural relaxation.

a = 2.656 Å, b = 2.656 Å, c = 8.772 Å
α = 90.00°, β = 90.00°, γ = 90.00°
Positions (direct):
K: 0.000 0.000 0.000
Co: 0.500 0.500 0.316
Co: 0.500 0.500 0.684
Ni: 0.000 0.000 0.500

Summary:
VASP energy = -4.523 eV per atom
ΔE to the lowest computed polymorph = 14.2 kJ/mol of atoms
Calculated formation energy = 0.750 eV/atom

=====

(4)
A plane-wave DFT calculation with PBE-GGA was carried out for AlHg2Sb after structural relaxation.

a = 3.127 Å, b = 5.512 Å, c = 5.825 Å
α = 90.00°, β = 93.78°, γ = 90.00°
Positions (direct):
Al: 0.000 0.000 0.000
Hg: 0.104 0.000 0.504
Hg: 0.609 0.500 0.494
Sb: 0.653 0.500 0.996

Summary:
VASP energy = -1.967 eV per atom
Formation energy without anion corrections = 0.6 eV/f.u.
ΔE to the lowest computed polymorph = 8.3 kJ/mol of atoms

=====

(5)
A plane-wave DFT calculation with PBE-GGA was carried out for ZnInIr after structural relaxation.

a = 2.934 Å, b = 4.323 Å, c = 4.637 Å
α = 90.00°, β = 90.00°, γ = 90.00°
Positions (direct):
Zn: 0.000 0.000 0.000
In: 0.000 0.500 0.500
Ir: 0.500 0.500 0.000

Summary:
VASP energy = -4.486 eV per atom
Calculated formation energy = -0.195 eV/atom

=====

(6)
A plane-wave DFT calculation with PBE-GGA was carried out for LiSmGaHg after structural relaxation.

a = 5.000 Å, b = 5.000 Å, c = 5.000 Å
α = 60.00°, β = 60.00°, γ = 60.00°
Positions (direct):
Li: 0.000 0.000 0.000
Sm: 0.500 0.500 0.500
Ga: 0.750 0.750 0.750
Hg: 0.250 0.250 0.250

Summary:
VASP energy = -2.942 eV per atom
Calculated formation energy = -0.452 eV/atom

=====

(7)
A plane-wave DFT calculation with PBE-GGA was carried out for Tl2GaH after structural relaxation.

a = 4.977 Å, b = 4.977 Å, c = 4.977 Å
α = 60.00°, β = 60.00°, γ = 60.00°
Positions (direct):
Tl: 0.250 0.250 0.250
Tl: 0.750 0.750 0.750
Ga: 0.000 0.000 0.000
H: 0.500 0.500 0.500

Summary:
VASP energy = -2.333 eV per atom
ΔE to the lowest computed polymorph = 3.9 kJ/mol of atoms

=====

(8)
A plane-wave DFT calculation with PBE-GGA was carried out for Na3LiHf3Se8 after structural relaxation.

a = 8.335 Å, b = 8.335 Å, c = 8.335 Å
α = 55.51°, β = 55.51°, γ = 55.51°
Positions (direct):
Na: 0.000 0.500 0.500
Na: 0.500 0.000 0.500
Na: 0.500 0.500 0.000
Li: 0.500 0.500 0.500
Hf: 0.000 0.000 0.500
Hf: 0.000 0.500 0.000
Hf: 0.500 0.000 0.000
Se: 0.226 0.743 0.743
Se: 0.241 0.241 0.241
Se: 0.257 0.257 0.774
Se: 0.257 0.774 0.257
Se: 0.743 0.226 0.743
Se: 0.743 0.743 0.226
Se: 0.759 0.759 0.759
Se: 0.774 0.257 0.257

Summary:
VASP energy = -5.504 eV per atom
Formation energy without anion corrections = -19.0 eV/f.u.

=====

| no. | theoretical density (Mg/m³) |
| --- | --- |
| 1 | 6.54 |
| 2 | 9.21 |
| 3 | 5.79 |
| 4 | 9.12 |
| 5 | 10.52 |
| 6 | 8.03 |
| 7 | 9.13 |
| 8 | 5.63 |